# PBE SmLuNb2Si2, relaxed
# - E: -7.32 eV/atom
# - M_tot: 1.07 μB per formula unit
data_SmLuNb2Si2
_chemical_formula_sum 'Sm1 Lu1 Nb2 Si2'
_symmetry_space_group_name_H-M 'P 1'
_symmetry_Int_Tables_number 1
_cell_length_a 4.004
_cell_length_b 4.004
_cell_length_c 7.807
_cell_angle_alpha 90.00
_cell_angle_beta 90.00
_cell_angle_gamma 90.00
loop_
_symmetry_equiv_pos_as_xyz
'x,y,z'
loop_
_atom_site_label
_atom_site_type_symbol
_atom_site_fract_x
_atom_site_fract_y
_atom_site_fract_z
Sm1 Sm 0.000 0.000 0.000
Lu1 Lu 0.500 0.500 0.706
Nb1 Nb 0.000 0.500 0.361
Nb2 Nb 0.500 0.000 0.361
Si1 Si 0.000 0.000 0.601
Si2 Si 0.500 0.500 0.123